The following is a DFT calculation (PBE-GGA) of a relaxed NdSm2Lu crystal.

## Properties
Energy relative to the elements   0.02 eV/atom
Energy above the lowest structure with this stoichiometry   0.0 meV/atom
VASP energy   -18.6 eV/f.u.

Cell: 5.077 5.077 5.104 Å, 90.00 90.00 90.00°
Space group P4/mmm (No. 123)
Unique sites:
Nd  0.000  0.000  0.000 [1 per cell]
Sm  0.000  0.500  0.500 [2 per cell]
Lu  0.500  0.500  0.000 [1 per cell]



The following is a DFT calculation (PBE-GGA) of a relaxed AcThHg4 crystal.

## Properties
Energy relative to the elements   -0.34 eV/atom
Energy above the lowest structure with this stoichiometry   0.0 meV/atom
VASP energy   -14.8 eV/f.u.

Cell: 3.588 5.127 8.858 Å, 90.00 90.00 90.00°
Space group Pmmm (No. 47)
Unique sites:
Ac  0.000  0.000  0.000 [1 per cell]
Th  0.000  0.500  0.500 [1 per cell]
Hg  0.500  0.000  0.337 [2 per cell]
Hg  0.500  0.500  0.171 [2 per cell]



The following is a DFT calculation (PBE-GGA) of a relaxed NbNiHRu2 crystal.

## Properties
Energy above the lowest structure with this stoichiometry   0.0 meV/atom
VASP energy   -38.8 eV/f.u.

Cell: 3.968 3.968 3.713 Å, 90.00 90.00 90.00°
Space group P4/mmm (No. 123)
Unique sites:
Nb  0.000  0.000  0.000 [1 per cell]
Ni  0.500  0.500  0.000 [1 per cell]
H  0.500  0.500  0.500 [1 per cell]
Ru  0.000  0.500  0.500 [2 per cell]



The following is a DFT calculation (PBE-GGA) of a relaxed K4ZnRu crystal.

## Properties
Energy relative to the elements   1.07 eV/atom
VASP energy   -8.5 eV/f.u.

Cell: 10.065 10.065 10.065 Å, 90.00 90.00 90.00°
Space group F-43m (No. 216)
Unique sites:
K  0.124  0.124  0.124 [16 per cell]
Zn  0.000  0.000  0.500 [4 per cell]
Ru  0.250  0.250  0.750 [4 per cell]



The following is a DFT calculation (PBE-GGA) of a relaxed MgSiI crystal.

## Properties
ΔE_f (raw)   -0.379 eV/atom
VASP energy   -9.7 eV/f.u.

Cell: 7.003 3.971 12.387 Å, 90.00 101.79 90.00°
Space group C2/m (No. 12)
Unique sites:
Mg  0.068  0.000  0.176 [4 per cell]
Si  0.155  0.500  0.972 [4 per cell]
I  0.211  0.000  0.681 [4 per cell]



The following is a DFT calculation (PBE-GGA) of a relaxed Mn2BiP crystal.

## Properties
Energy relative to the elements   0.28 eV/atom
VASP energy   -26.5 eV/f.u.

Cell: 4.947 4.947 14.471 Å, 90.00 90.00 90.00°
Space group I-42d (No. 122)
Unique sites:
Mn  0.127  0.250  0.125 [8 per cell]
Bi  0.000  0.000  0.500 [4 per cell]
P  0.000  0.000  0.000 [4 per cell]